Record 1
Hg2RhPb | GGA-PBEsol | relaxed

## Properties
Fermi-level density of states: 2.54 states/eV per cell
raw total energy: -3.23 eV/atom
E_form: 0.37 eV per formula unit
SG: Immm

Cell: 6.611 6.611 6.611 Å, 153.01 139.36 49.47°
Sites, in units of the cell vectors:
Hg 0.200 0.200 0.000
Hg 0.800 0.800 0.000
Rh 0.000 0.500 0.500
Pb 0.500 0.000 0.500

=====

Record 2
Hg2RhPb | GGA-PBEsol | relaxed

## Properties
Fermi-level density of states: 1.70 states/eV per cell
raw total energy: -3.12 eV/atom
E_form: 0.81 eV per formula unit
SG: I-4m2

Cell: 5.270 5.270 5.270 Å, 131.75 131.75 70.62°
Sites, in units of the cell vectors:
Hg 0.000 0.000 0.000
Hg 0.750 0.250 0.500
Rh 0.250 0.750 0.500
Pb 0.500 0.500 0.000

=====

Record 3
TcHg2RhPb | GGA-PBEsol | relaxed

## Properties
Fermi-level density of states: 3.27 states/eV per cell
raw total energy: -3.76 eV/atom
E_form: 5.73 eV per formula unit
SG: P4/mmm

Cell: 5.062 5.062 5.017 Å, 90.00 90.00 90.00°
Sites, in units of the cell vectors:
Tc 0.000 0.000 0.000
Hg 0.000 0.500 0.500
Hg 0.500 0.000 0.500
Rh 0.500 0.500 0.500
Pb 0.500 0.500 0.000

=====

Record 4
HgRu2Pb | GGA-PBEsol | relaxed

## Properties
Fermi-level density of states: 4.79 states/eV per cell
ΔE to the lowest computed polymorph: 10.1 kJ per mole of atoms
raw total energy: -5.38 eV/atom
E_form: 3.40 eV per formula unit
SG: F-43m

Cell: 4.649 4.649 4.649 Å, 60.00 60.00 60.00°
Sites, in units of the cell vectors:
Hg 0.000 0.000 0.000
Ru 0.250 0.250 0.250
Ru 0.500 0.500 0.500
Pb 0.750 0.750 0.750

=====

Record 5
HgRu2Pb | GGA-PBEsol | relaxed

## Properties
Fermi-level density of states: 4.43 states/eV per cell
ΔE to the lowest computed polymorph: 0.0 kJ per mole of atoms
raw total energy: -5.48 eV/atom
E_form: 2.98 eV per formula unit
SG: C2/m

Cell: 5.366 5.366 3.005 Å, 104.85 104.85 112.79°
Sites, in units of the cell vectors:
Hg 0.000 0.000 0.000
Ru 0.000 0.500 0.500
Ru 0.500 0.000 0.500
Pb 0.500 0.500 0.000

=====

Record 6
HgRuPb | GGA-PBEsol | relaxed

## Properties
Fermi-level density of states: 1.95 states/eV per cell
raw total energy: -4.42 eV/atom
E_form: 1.48 eV per formula unit
SG: F-43m

Cell: 4.519 4.519 4.519 Å, 60.00 60.00 60.00°
Sites, in units of the cell vectors:
Hg 0.000 0.000 0.000
Ru 0.750 0.750 0.750
Pb 0.500 0.500 0.500

=====

Record 7
TcHgRuPb2 | GGA-PBEsol | relaxed

## Properties
Fermi-level density of states: 5.30 states/eV per cell
raw total energy: -3.92 eV/atom
E_form: 10.38 eV per formula unit
SG: P4/mmm

Cell: 5.389 5.389 5.000 Å, 90.00 90.00 90.00°
Sites, in units of the cell vectors:
Tc 0.000 0.000 0.000
Hg 0.500 0.500 0.500
Ru 0.500 0.500 0.000
Pb 0.000 0.500 0.500
Pb 0.500 0.000 0.500

=====

Record 8
HgTe2RuPb | GGA-PBEsol | relaxed

## Properties
formation energy from raw total energies: 1.48 eV/atom
Fermi-level density of states: 5.69 states/eV per cell
raw total energy: -2.88 eV/atom
SG: P4/mmm

Cell: 5.487 5.487 5.447 Å, 90.00 90.00 90.00°
Sites, in units of the cell vectors:
Hg 0.000 0.000 0.000
Te 0.000 0.500 0.000
Te 0.500 0.000 0.000
Ru 0.500 0.500 0.500
Pb 0.000 0.000 0.500

=====

Record 9
HgPbS2 | GGA-PBEsol | relaxed

## Properties
formation energy from raw total energies: -0.24 eV/atom
raw total energy: -3.57 eV/atom
SG: R-3m

Cell: 7.876 7.876 7.876 Å, 32.78 32.78 32.78°
Sites, in units of the cell vectors:
Hg 0.000 0.000 0.000
Pb 0.500 0.500 0.500
S 0.103 0.103 0.103
S 0.897 0.897 0.897

=====

Record 10
SnHgPb2S | GGA-PBEsol | relaxed

## Properties
formation energy from raw total energies: 0.64 eV/atom
Fermi-level density of states: 1.94 states/eV per cell
raw total energy: -2.80 eV/atom
SG: P4/mmm

Cell: 5.620 5.620 5.288 Å, 90.00 90.00 90.00°
Sites, in units of the cell vectors:
Sn 0.000 0.000 0.000
Hg 0.000 0.000 0.500
Pb 0.000 0.500 0.500
Pb 0.500 0.000 0.500
S 0.500 0.500 0.000

=====

Record 11
Hg2SbPb | GGA-PBEsol | relaxed

## Properties
formation energy from raw total energies: 0.07 eV/atom
Fermi-level density of states: 1.90 states/eV per cell
raw total energy: -2.35 eV/atom
SG: P4mm

Cell: 3.739 3.739 7.321 Å, 90.00 90.00 90.00°
Sites, in units of the cell vectors:
Hg 0.000 0.000 0.000
Hg 0.500 0.500 0.225
Sb 0.500 0.500 0.764
Pb 0.000 0.000 0.494

=====

Record 12
HgSb2Pb | GGA-PBEsol | relaxed

## Properties
formation energy from raw total energies: 0.14 eV/atom
Fermi-level density of states: 2.17 states/eV per cell
ΔE to the lowest computed polymorph: 6.8 kJ per mole of atoms
raw total energy: -3.28 eV/atom
SG: Fm-3m

Cell: 5.316 5.316 5.316 Å, 60.00 60.00 60.00°
Sites, in units of the cell vectors:
Hg 0.000 0.000 0.000
Sb 0.250 0.250 0.250
Sb 0.750 0.750 0.750
Pb 0.500 0.500 0.500

=====

Record 13
Hg2SbPb | GGA-PBEsol | relaxed

## Properties
formation energy from raw total energies: 0.05 eV/atom
Fermi-level density of states: 1.56 states/eV per cell
raw total energy: -2.37 eV/atom
SG: Pmmm

Cell: 4.292 4.464 5.369 Å, 90.00 90.00 90.00°
Sites, in units of the cell vectors:
Hg 0.000 0.000 0.000
Hg 0.500 0.000 0.500
Sb 0.000 0.500 0.500
Pb 0.500 0.500 0.000

=====

Record 14
Hg2SbPb | GGA-PBEsol | relaxed

## Properties
formation energy from raw total energies: 0.05 eV/atom
Fermi-level density of states: 1.87 states/eV per cell
raw total energy: -2.37 eV/atom
SG: P2/m

Cell: 3.260 5.080 6.256 Å, 90.00 94.48 90.00°
Sites, in units of the cell vectors:
Hg 0.136 0.000 0.245
Hg 0.864 0.000 0.755
Sb 0.000 0.500 0.500
Pb 0.500 0.500 0.000

=====

Record 15
HgSb2Pb | GGA-PBEsol | relaxed

## Properties
formation energy from raw total energies: 0.07 eV/atom
Fermi-level density of states: 1.75 states/eV per cell
ΔE to the lowest computed polymorph: 0.6 kJ per mole of atoms
raw total energy: -3.35 eV/atom
SG: Imm2

Cell: 6.138 6.138 6.138 Å, 142.58 127.77 66.00°
Sites, in units of the cell vectors:
Hg 0.000 0.000 0.000
Sb 0.549 0.549 0.000
Sb 0.762 0.262 0.500
Pb 0.253 0.753 0.500